[1]
Here is an optimized crystal structure of Ho4Er7Mg from Alexandria. Energies are from PBE.

It has space group P-3m1 (No. 164), with a = 3.5073 Å, b = 3.5073 Å, c = 33.9824 Å, α = 90.00°, β = 90.00° and γ = 120.00°. Symmetry generates all atoms from Ho at (0.3333, 0.6667, 0.1626), Ho at (0.3333, 0.6667, 0.4156), Er at (0.0000, 0.0000, 0.2470), Er at (0.0000, 0.0000, 0.5000), Er at (0.3333, 0.6667, 0.6688), Er at (0.3333, 0.6667, 0.9213) and Mg at (0.0000, 0.0000, 0.0000).

Its formation energy from the elements is 0.0228 eV per atom. For the total magnetization, the calculation gives 0.0 μB/cell. The total energy comes out at -4.30 eV/atom. The value obtained for the energy relative to the lowest polymorph listed for this composition is 0.0000 eV/atom. The value obtained for the density of states at the Fermi level is 17.204 states/eV/cell.



[2]
Here is an optimized crystal structure of Ho7Er2Mg2 from Alexandria. Energies are from PBE.

It has space group C2/m (No. 12), with a = 11.798 Å, b = 10.999 Å, c = 5.620 Å, α = 90.00°, β = 112.33° and γ = 90.00°. Symmetry generates all atoms from Ho at (0.000, 0.000, 0.000), Ho at (0.191, 0.206, 0.185), Ho at (0.220, 0.000, 0.672), Er at (0.000, 0.220, 0.500) and Mg at (0.056, 0.500, 0.786).

Its formation energy from the elements is 0.1734 eV per atom. For the total magnetization, the calculation gives 0.0 μB/cell. The total energy comes out at -3.86 eV/atom. The value obtained for the energy relative to the lowest polymorph listed for this composition is 0.1685 eV/atom. The value obtained for the density of states at the Fermi level is 27.671 states/eV/cell.



Q: total magnetization of number 1 (Ho4Er7Mg)?
A: 0.0 μB/cell